*a*
First-principles (PBE) data for a geometry-optimized BaCaHf structure, as listed in the Alexandria database.

Computed properties:
**Calculated density**: 5.3 g/cm3
**Space group**: P1

Lattice parameters (Å, degrees): 3.5941 3.5933 17.6050 101.74 89.92 90.00
Fractional coordinates of all 6 atoms:
Ca  0.9925  0.7824  0.8674
Ca  0.4948  0.1083  0.6912
Hf  0.9963  0.4619  0.5443
Hf  0.4971  0.8633  0.4454
Ba  0.4875  0.4734  0.0617
Ba  0.9992  0.1967  0.2774

---

*b*
First-principles (PBE) data for a geometry-optimized BaCaHf structure, as listed in the Alexandria database.

Computed properties:
**Calculated density**: 5.2 g/cm3
**Space group**: P1

Lattice parameters (Å, degrees): 3.5558 6.3700 10.1835 78.23 89.95 90.04
Fractional coordinates of all 6 atoms:
Ca  0.0694  0.7663  0.8880
Ca  0.0700  0.3260  0.6616
Hf  0.5706  0.8683  0.5979
Hf  0.0713  0.0888  0.3862
Ba  0.5659  0.2084  0.0536
Ba  0.5720  0.6281  0.3001

---

*c*
First-principles (PBE) data for a geometry-optimized BaCaHf structure, as listed in the Alexandria database.

Computed properties:
**Calculated density**: 5.0 g/cm3
**Space group**: Pm

Lattice parameters (Å, degrees): 3.7186 15.9167 4.0812 90.00 90.00 103.48
Fractional coordinates of all 6 atoms:
Ca  0.2174  0.6634  0.6804
Ca  0.6348  0.0772  0.6804
Hf  0.8518  0.2941  0.6804
Hf  0.2731  0.2151  0.1804
Ba  0.9208  0.8668  0.1804
Ba  0.5092  0.4529  0.1804

---

Stability order, top to bottom: *c*, *a*, *b*

---

*a*
First-principles (PBE) data for a geometry-optimized Ba2CaHf2 structure, as listed in the Alexandria database.

Computed properties:
**Calculated density**: 6.2 g/cm3
**Space group**: P4/mbm

Lattice parameters (Å, degrees): 10.1686 10.1686 3.4848 90.00 90.00 90.00
Fractional coordinates of all 10 atoms:
Ca  0.0000  0.0000  0.0000
Ca  0.5000  0.5000  0.0000
Hf  0.0998  0.5998  0.5000
Hf  0.5998  0.9002  0.5000
Hf  0.9002  0.4002  0.5000
Hf  0.4002  0.0998  0.5000
Ba  0.3081  0.8081  0.0000
Ba  0.8081  0.6919  0.0000
Ba  0.6919  0.1919  0.0000
Ba  0.1919  0.3081  0.0000

---

*b*
First-principles (PBE) data for a geometry-optimized Ba2CaHf2 structure, as listed in the Alexandria database.

Computed properties:
**Calculated density**: 5.2 g/cm3
**Space group**: I4/mmm

Lattice parameters (Å, degrees): 4.0572 4.0572 13.2637 81.20 81.20 90.00
Fractional coordinates of all 5 atoms:
Ca  0.0000  0.0000  0.0000
Hf  0.7500  0.2500  0.5000
Hf  0.2500  0.7500  0.5000
Ba  0.3738  0.3738  0.2523
Ba  0.6262  0.6262  0.7477

---

Stability order, top to bottom: *b*, *a*

---

*a*
First-principles (PBE) data for a geometry-optimized BaCaHf3 structure, as listed in the Alexandria database.

Computed properties:
**Calculated density**: 7.4 g/cm3
**Space group**: Pm-3m

Lattice parameters (Å, degrees): 5.4263 5.4263 5.4263 90.00 90.00 90.00
Fractional coordinates of all 5 atoms:
Ca  0.0000  0.0000  0.0000
Hf  0.0000  0.5000  0.0000
Hf  0.0000  0.0000  0.5000
Hf  0.5000  0.0000  0.0000
Ba  0.5000  0.5000  0.5000

---

*b*
First-principles (PBE) data for a geometry-optimized BaCaHf3 structure, as listed in the Alexandria database.

Computed properties:
**Calculated density**: 7.6 g/cm3
**Space group**: Pm-3m

Lattice parameters (Å, degrees): 5.3889 5.3889 5.3889 90.00 90.00 90.00
Fractional coordinates of all 5 atoms:
Ca  0.5000  0.5000  0.5000
Hf  0.0000  0.5000  0.0000
Hf  0.0000  0.0000  0.5000
Hf  0.5000  0.0000  0.0000
Ba  0.0000  0.0000  0.0000

---

Stability order, top to bottom: *a*, *b*

---

*a*
First-principles (PBE) data for a geometry-optimized BaCaHf2Ru structure, as listed in the Alexandria database.

Computed properties:
**Calculated density**: 7.3 g/cm3
**Space group**: P4/mmm

Lattice parameters (Å, degrees): 5.3687 5.0245 5.3687 90.00 90.00 90.00
Fractional coordinates of all 5 atoms:
Ru  0.0000  0.5000  0.0000
Ca  0.5000  0.5000  0.5000
Hf  0.0000  0.0000  0.5000
Hf  0.5000  0.0000  0.0000
Ba  0.0000  0.0000  0.0000

---

*b*
First-principles (PBE) data for a geometry-optimized BaCaHf2Ru structure, as listed in the Alexandria database.

Computed properties:
**Calculated density**: 6.7 g/cm3
**Space group**: P4/mmm

Lattice parameters (Å, degrees): 5.0910 6.1174 5.0910 90.00 90.00 90.00
Fractional coordinates of all 5 atoms:
Ru  0.0000  0.0000  0.0000
Ca  0.5000  0.5000  0.5000
Hf  0.0000  0.0000  0.5000
Hf  0.5000  0.0000  0.0000
Ba  0.0000  0.5000  0.0000

---

Stability order, top to bottom: *b*, *a*

---

*a*
First-principles (PBE) data for a geometry-optimized BaCaHg3 structure, as listed in the Alexandria database.

Computed properties:
**Calculated density**: 5.5 g/cm3
**Space group**: Pm-3m

Lattice parameters (Å, degrees): 6.1727 6.1727 6.1727 90.00 90.00 90.00
Fractional coordinates of all 5 atoms:
Ca  0.5000  0.5000  0.5000
Hg  0.0000  0.5000  0.0000
Hg  0.0000  0.0000  0.5000
Hg  0.5000  0.0000  0.0000
Ba  0.0000  0.0000  0.0000

---

*b*
First-principles (PBE) data for a geometry-optimized BaCaHg3 structure, as listed in the Alexandria database.

Computed properties:
**Calculated density**: 8.2 g/cm3
**Space group**: Cmcm

Lattice parameters (Å, degrees): 4.1663 4.9725 15.4148 90.00 97.77 90.00
Fractional coordinates of all 10 atoms:
Ba  0.9234  0.7500  0.8467
Ba  0.0766  0.2500  0.1533
Ca  0.2085  0.7500  0.4171
Ca  0.7915  0.2500  0.5829
Hg  0.6271  0.7500  0.2542
Hg  0.3729  0.2500  0.7458
Hg  0.5263  0.7500  0.0526
Hg  0.4737  0.2500  0.9474
Hg  0.6866  0.2500  0.3732
Hg  0.3134  0.7500  0.6268

---

Stability order, top to bottom: *b*, *a*

---

*a*
First-principles (PBE) data for a geometry-optimized BaCaHg structure, as listed in the Alexandria database.

Computed properties:
**Calculated density**: 5.5 g/cm3
**Space group**: I4mm

Lattice parameters (Å, degrees): 7.5911 7.5914 4.0436 74.55 74.56 30.89
Fractional coordinates of all 3 atoms:
Ca  0.2942  0.2942  0.7058
Hg  0.6822  0.6822  0.3178
Ba  0.0237  0.0237  0.9763

---

*b*
First-principles (PBE) data for a geometry-optimized BaCaHg structure, as listed in the Alexandria database.

Computed properties:
**Calculated density**: 5.0 g/cm3
**Space group**: F-43m

Lattice parameters (Å, degrees): 5.6243 5.6243 5.6243 60.00 60.00 60.00
Fractional coordinates of all 3 atoms:
Ca  0.5000  0.5000  0.5000
Hg  0.7500  0.7500  0.7500
Ba  0.0000  0.0000  0.0000

---

Stability order, top to bottom: *a*, *b*

---

*a*
First-principles (PBE) data for a geometry-optimized BaCa2Hg2 structure, as listed in the Alexandria database.

Computed properties:
**Calculated density**: 5.9 g/cm3
**Space group**: Cmmm

Lattice parameters (Å, degrees): 3.8451 4.0011 11.4636 79.95 90.00 90.00
Fractional coordinates of all 5 atoms:
Ba  0.0000  0.0000  0.0000
Ca  0.0000  0.1771  0.6459
Ca  0.0000  0.8229  0.3541
Hg  0.5000  0.3953  0.2094
Hg  0.5000  0.6047  0.7906

---

*b*
First-principles (PBE) data for a geometry-optimized BaCa2Hg2 structure, as listed in the Alexandria database.

Computed properties:
**Calculated density**: 5.7 g/cm3
**Space group**: I4/mmm

Lattice parameters (Å, degrees): 5.0950 5.0950 7.8666 71.10 71.10 90.00
Fractional coordinates of all 5 atoms:
Ca  0.7500  0.2500  0.5000
Ca  0.2500  0.7500  0.5000
Hg  0.3925  0.3925  0.2150
Hg  0.6075  0.6075  0.7850
Ba  0.0000  0.0000  0.0000

---

Stability order, top to bottom: *a*, *b*

---

*a*
First-principles (PBE) data for a geometry-optimized BaCa2Hg2 structure, as listed in the Alexandria database.

Computed properties:
**Calculated density**: 5.4 g/cm3
**Space group**: I4/mmm

Lattice parameters (Å, degrees): 5.7721 5.7721 7.0312 65.77 65.77 90.00
Fractional coordinates of all 5 atoms:
Ca  0.3444  0.3444  0.3112
Ca  0.6556  0.6556  0.6888
Hg  0.7500  0.2500  0.5000
Hg  0.2500  0.7500  0.5000
Ba  0.0000  0.0000  0.0000

---

*b*
First-principles (PBE) data for a geometry-optimized BaCa2Hg2 structure, as listed in the Alexandria database.

Computed properties:
**Calculated density**: 6.0 g/cm3
**Space group**: P4/mbm

Lattice parameters (Å, degrees): 8.9745 8.9745 4.2626 90.00 90.00 90.00
Fractional coordinates of all 10 atoms:
Ca  0.1518  0.6518  0.5000
Ca  0.6518  0.8482  0.5000
Ca  0.8482  0.3482  0.5000
Ca  0.3482  0.1518  0.5000
Hg  0.3634  0.8634  0.0000
Hg  0.8634  0.6366  0.0000
Hg  0.6366  0.1366  0.0000
Hg  0.1366  0.3634  0.0000
Ba  0.0000  0.0000  0.0000
Ba  0.5000  0.5000  0.0000

---

Stability order, top to bottom: *b*, *a*

---

*a*
First-principles (PBE) data for a geometry-optimized Ba3CaHg structure, as listed in the Alexandria database.

Computed properties:
**Calculated density**: 3.7 g/cm3
**Space group**: Pm-3m

Lattice parameters (Å, degrees): 6.6453 6.6453 6.6453 90.00 90.00 90.00
Fractional coordinates of all 5 atoms:
Ca  0.5000  0.5000  0.5000
Hg  0.0000  0.0000  0.0000
Ba  0.0000  0.5000  0.0000
Ba  0.0000  0.0000  0.5000
Ba  0.5000  0.0000  0.0000

---

*b*
First-principles (PBE) data for a geometry-optimized Ba3CaHg structure, as listed in the Alexandria database.

Computed properties:
**Calculated density**: 4.3 g/cm3
**Space group**: Pmmn

Lattice parameters (Å, degrees): 4.3171 12.5889 9.3035 90.00 90.00 90.00
Fractional coordinates of all 10 atoms:
Ba  0.2500  0.0316  0.2749
Ba  0.7500  0.9684  0.7251
Ba  0.2500  0.4684  0.2749
Ba  0.7500  0.5316  0.7251
Ba  0.7500  0.2500  0.9869
Ba  0.2500  0.7500  0.0131
Ca  0.2500  0.2500  0.6009
Ca  0.7500  0.7500  0.3991
Hg  0.7500  0.2500  0.3555
Hg  0.2500  0.7500  0.6445

---

Stability order, top to bottom: *b*, *a*

---

*a*
First-principles (PBE) data for a geometry-optimized BaCaHg4 structure, as listed in the Alexandria database.

Computed properties:
**Calculated density**: 9.3 g/cm3
**Space group**: F-43m

Lattice parameters (Å, degrees): 6.2692 6.2692 6.2692 60.00 60.00 60.00
Fractional coordinates of all 6 atoms:
Ba  0.7500  0.7500  0.7500
Ca  0.0000  0.0000  0.0000
Hg  0.3746  0.8761  0.3746
Hg  0.8761  0.3746  0.3746
Hg  0.3746  0.3746  0.8761
Hg  0.3746  0.3746  0.3746

---

*b*
First-principles (PBE) data for a geometry-optimized BaCaHg4 structure, as listed in the Alexandria database.

Computed properties:
**Calculated density**: 9.1 g/cm3
**Space group**: C2/m

Lattice parameters (Å, degrees): 5.1042 5.1042 7.9411 89.74 89.74 59.98
Fractional coordinates of all 6 atoms:
Ba  0.5000  0.5000  0.0000
Ca  0.5000  0.5000  0.5000
Hg  0.8332  0.8332  0.7121
Hg  0.1668  0.1668  0.2879
Hg  0.8335  0.8335  0.2880
Hg  0.1665  0.1665  0.7120

---

Stability order, top to bottom: *b*, *a*

---

*a*
First-principles (PBE) data for a geometry-optimized BaCa4Hg structure, as listed in the Alexandria database.

Computed properties:
**Calculated density**: 3.1 g/cm3
**Space group**: F-43m

Lattice parameters (Å, degrees): 7.2259 7.2259 7.2259 60.00 60.00 60.00
Fractional coordinates of all 6 atoms:
Ba  0.0000  0.0000  0.0000
Ca  0.8742  0.3753  0.3753
Ca  0.3753  0.3753  0.8742
Ca  0.3753  0.8742  0.3753
Ca  0.3753  0.3753  0.3753
Hg  0.7500  0.7500  0.7500

---

*b*
First-principles (PBE) data for a geometry-optimized BaCa4Hg structure, as listed in the Alexandria database.

Computed properties:
**Calculated density**: 3.5 g/cm3
**Space group**: P4/mmm

Lattice parameters (Å, degrees): 3.9479 3.9479 15.3719 90.00 90.00 90.00
Fractional coordinates of all 6 atoms:
Ba  0.0000  0.0000  0.0000
Ca  0.5000  0.5000  0.2060
Ca  0.0000  0.0000  0.6143
Ca  0.0000  0.0000  0.3857
Ca  0.5000  0.5000  0.7940
Hg  0.5000  0.5000  0.5000

---

Stability order, top to bottom: *b*, *a*

---

*a*
First-principles (PBE) data for a geometry-optimized BaCa2HgIr structure, as listed in the Alexandria database.

Computed properties:
**Calculated density**: 5.5 g/cm3
**Space group**: P4/mmm

Lattice parameters (Å, degrees): 5.5096 5.5096 6.0621 90.00 90.00 90.00
Fractional coordinates of all 5 atoms:
Ca  0.0000  0.5000  0.0000
Ca  0.5000  0.0000  0.0000
Ir  0.0000  0.0000  0.0000
Hg  0.5000  0.5000  0.5000
Ba  0.0000  0.0000  0.5000

---

*b*
First-principles (PBE) data for a geometry-optimized BaCa2HgIr structure, as listed in the Alexandria database.

Computed properties:
**Calculated density**: 6.1 g/cm3
**Space group**: P4/mmm

Lattice parameters (Å, degrees): 5.4820 5.4820 5.5257 90.00 90.00 90.00
Fractional coordinates of all 5 atoms:
Ca  0.0000  0.5000  0.0000
Ca  0.5000  0.0000  0.0000
Ir  0.0000  0.0000  0.0000
Hg  0.0000  0.0000  0.5000
Ba  0.5000  0.5000  0.5000

---

Stability order, top to bottom: *a*, *b*